# Zn3PbSe PBE-GGA optimized geometry
data_Zn3PbSe
_chemical_formula_sum 'Zn3 Pb1 Se1'
_cell_length_a 5.009
_cell_length_b 5.009
_cell_length_c 5.009
_cell_angle_alpha 90.00
_cell_angle_beta 90.00
_cell_angle_gamma 90.00
_space_group_name_H-M_alt 'P m -3 m'
_space_group_IT_number 221
_space_group_name_Hall '-P 4 2 3'
loop_
_atom_site_label
_atom_site_type_symbol
_atom_site_fract_x
_atom_site_fract_y
_atom_site_fract_z
Zn1 Zn 0.000 0.000 0.500
Pb1 Pb 0.500 0.500 0.500
Se1 Se 0.000 0.000 0.000
# N(E_F): 0.8 states/eV per cell
# Energy: -9.19 eV for the cell shown
# E above lowest polymorph: 0 meV per atom


# Zn3PbSe PBE-GGA optimized geometry
data_Zn3PbSe
_chemical_formula_sum 'Zn3 Pb1 Se1'
_cell_length_a 5.199
_cell_length_b 5.199
_cell_length_c 5.199
_cell_angle_alpha 90.00
_cell_angle_beta 90.00
_cell_angle_gamma 90.00
_space_group_name_H-M_alt 'P m -3 m'
_space_group_IT_number 221
_space_group_name_Hall '-P 4 2 3'
loop_
_atom_site_label
_atom_site_type_symbol
_atom_site_fract_x
_atom_site_fract_y
_atom_site_fract_z
Zn1 Zn 0.000 0.000 0.500
Pb1 Pb 0.000 0.000 0.000
Se1 Se 0.500 0.500 0.500
# N(E_F): 2.8 states/eV per cell
# Energy: -8.28 eV for the cell shown
# E above lowest polymorph: 180 meV per atom


# Zn2PbSe PBE-GGA optimized geometry
data_Zn2PbSe
_chemical_formula_sum 'Zn4 Pb2 Se2'
_cell_length_a 3.666
_cell_length_b 5.674
_cell_length_c 8.799
_cell_angle_alpha 90.00
_cell_angle_beta 90.00
_cell_angle_gamma 90.00
_space_group_name_H-M_alt 'I m m m'
_space_group_IT_number 71
_space_group_name_Hall '-I 2 2'
loop_
_atom_site_label
_atom_site_type_symbol
_atom_site_fract_x
_atom_site_fract_y
_atom_site_fract_z
Zn1 Zn 0.000 0.000 0.222
Pb1 Pb 0.000 0.500 0.000
Se1 Se 0.000 0.500 0.500
# N(E_F): 2.9 states/eV per cell
# Energy: -19.18 eV for the cell shown
# E above lowest polymorph: 182 meV per atom


# ZnPbSe2 PBE-GGA optimized geometry
data_ZnPbSe2
_chemical_formula_sum 'Zn2 Pb2 Se4'
_cell_length_a 4.060
_cell_length_b 4.060
_cell_length_c 12.329
_cell_angle_alpha 90.00
_cell_angle_beta 90.00
_cell_angle_gamma 90.00
_space_group_name_H-M_alt 'I -4 m 2'
_space_group_IT_number 119
_space_group_name_Hall 'I -4 -2'
loop_
_atom_site_label
_atom_site_type_symbol
_atom_site_fract_x
_atom_site_fract_y
_atom_site_fract_z
Zn1 Zn 0.000 0.000 0.000
Pb1 Pb 0.000 0.500 0.750
Se1 Se 0.000 0.000 0.500
Se2 Se 0.000 0.500 0.250
# N(E_F): 4.1 states/eV per cell
# Energy: -24.22 eV for the cell shown